No. 1
Material: P2RhSCl
Method: DFT, meta-GGA SCAN
State: PBEsol geometry

Calculated values
Total magnetization ... 0.00 μB/f.u.
E above lowest polymorph ... 0 meV/atom
Space-group type ... No. 123
Formation energy from raw total energies ... 1.241 eV per atom

The structure in POSCAR format:
```
P2RhSCl
1.0
4.3323 0.0000 0.0000
0.0000 4.4404 0.0000
0.0000 0.0000 4.4404
P Rh Cl S
2 1 1 1
direct
0.0000 0.0000 0.5000
0.0000 0.5000 0.0000
0.5000 0.5000 0.5000
0.5000 0.0000 0.0000
0.0000 0.0000 0.0000
```

=====

No. 2
Material: PRhSCl2
Method: DFT, meta-GGA SCAN
State: PBEsol geometry

Calculated values
Total magnetization ... 0.83 μB/f.u.
Space-group type ... No. 123
Formation energy from raw total energies ... 0.422 eV per atom

The structure in POSCAR format:
```
PRhSCl2
1.0
-0.2976 -4.5988 0.2315
3.6108 -0.3749 -2.8047
2.8141 0.0002 3.6229
Cl Rh P S
2 1 1 1
direct
0.0000 0.0000 0.5000
0.0000 0.5000 0.0000
0.0000 0.0000 0.0000
0.5000 0.0000 0.0000
0.5000 0.5000 0.5000
```

=====

No. 3
Material: P2RhSCl
Method: DFT, meta-GGA SCAN
State: PBEsol geometry

Calculated values
Total magnetization ... 0.01 μB/f.u.
E above lowest polymorph ... 411 meV/atom
Space-group type ... No. 123
Formation energy from raw total energies ... 1.651 eV per atom

The structure in POSCAR format:
```
P2RhSCl
1.0
4.4052 0.0000 0.0000
0.0000 4.4052 0.0000
0.0000 0.0000 4.3821
Rh Cl S P
1 1 1 2
direct
0.5000 0.5000 0.5000
0.0000 0.0000 0.0000
0.0000 0.0000 0.5000
0.0000 0.5000 0.0000
0.5000 0.0000 0.0000
```

=====

No. 4
Material: SbPRhCl2
Method: DFT, meta-GGA SCAN
State: PBEsol geometry

Calculated values
Total magnetization ... 1.39 μB/f.u.
Space-group type ... No. 123
Formation energy from raw total energies ... 0.754 eV per atom

The structure in POSCAR format:
```
SbPRhCl2
1.0
4.9796 0.0000 0.0000
0.0000 4.9796 0.0000
0.0000 0.0000 5.2288
Cl P Sb Rh
2 1 1 1
direct
0.5000 0.0000 0.0000
0.0000 0.5000 0.0000
0.0000 0.0000 0.5000
0.0000 0.0000 0.0000
0.5000 0.5000 0.5000
```

=====

No. 5
Material: TaP2RhCl
Method: DFT, meta-GGA SCAN
State: PBEsol geometry

Calculated values
Total magnetization ... 1.55 μB/f.u.
Space-group type ... No. 123
Formation energy from raw total energies ... 0.610 eV per atom

The structure in POSCAR format:
```
TaP2RhCl
1.0
4.5808 0.0000 0.0000
0.0000 4.7736 0.0000
0.0000 0.0000 4.7736
Ta P Cl Rh
1 2 1 1
direct
0.0000 0.0000 0.0000
0.0000 0.0000 0.5000
0.0000 0.5000 0.0000
0.5000 0.0000 0.0000
0.5000 0.5000 0.5000
```

=====

No. 6
Material: TiPRhCl2
Method: DFT, meta-GGA SCAN
State: PBEsol geometry

Calculated values
Total magnetization ... 1.87 μB/f.u.
E above lowest polymorph ... 0 meV/atom
Space-group type ... No. 123
Formation energy from raw total energies ... -0.062 eV per atom

The structure in POSCAR format:
```
TiPRhCl2
1.0
-2.4244 2.9303 -2.3774
-3.6928 -1.2612 2.2112
0.8601 3.4937 3.4291
Ti Cl Rh P
1 2 1 1
direct
0.0000 0.0000 0.0000
0.0000 0.5000 0.0000
0.5000 0.0000 0.0000
0.5000 0.5000 0.5000
0.0000 0.0000 0.5000
```

=====

No. 7
Material: TiPRhCl2
Method: DFT, meta-GGA SCAN
State: PBEsol geometry

Calculated values
Total magnetization ... 1.55 μB/f.u.
E above lowest polymorph ... 142 meV/atom
Space-group type ... No. 123
Formation energy from raw total energies ... 0.080 eV per atom

The structure in POSCAR format:
```
TiPRhCl2
1.0
4.7199 0.0000 0.0000
0.0000 4.7199 0.0000
0.0000 0.0000 4.4896
Cl Rh Ti P
2 1 1 1
direct
0.0000 0.5000 0.0000
0.5000 0.0000 0.0000
0.0000 0.0000 0.0000
0.5000 0.5000 0.5000
0.0000 0.0000 0.5000
```

=====

No. 8
Material: TlPRhCl2
Method: DFT, meta-GGA SCAN
State: PBEsol geometry

Calculated values
Total magnetization ... 3.37 μB/f.u.
Space-group type ... No. 123
Formation energy from raw total energies ... 0.904 eV per atom

The structure in POSCAR format:
```
TlPRhCl2
1.0
5.1373 0.0000 0.0000
0.0000 5.1381 0.0000
0.0000 0.0000 5.1381
Cl P Tl Rh
2 1 1 1
direct
0.0000 0.5000 0.0000
0.0000 0.0000 0.5000
0.5000 0.0000 0.0000
0.0000 0.0000 0.0000
0.5000 0.5000 0.5000
```